Pa3Co3Si2: relaxed, PBE.

Results
SG: No. 63

Lattice parameters (Å, degrees): 4.040 5.643 12.735 90.00 90.00 110.97
Sites, in units of the cell vectors:
1 Co 0.616 0.232 0.451
2 Co 0.384 0.768 0.951
3 Co 0.659 0.319 0.750
4 Co 0.341 0.681 0.250
5 Co 0.616 0.232 0.049
6 Co 0.384 0.768 0.549
7 Pa 0.639 0.279 0.250
8 Pa 0.931 0.861 0.109
9 Pa 0.931 0.861 0.391
10 Pa 0.069 0.139 0.891
11 Pa 0.069 0.139 0.609
12 Pa 0.361 0.721 0.750
13 Si 0.221 0.442 0.089
14 Si 0.779 0.558 0.589
15 Si 0.779 0.558 0.911
16 Si 0.221 0.442 0.411

=====

Pa3CoSi2: relaxed, PBE.

Results
SG: No. 62

Lattice parameters (Å, degrees): 3.870 10.644 11.660 90.00 90.00 90.00
Sites, in units of the cell vectors:
1 Si 0.250 0.483 0.803
2 Si 0.250 0.017 0.303
3 Si 0.250 0.806 0.982
4 Si 0.250 0.694 0.482
5 Si 0.750 0.306 0.518
6 Si 0.750 0.983 0.697
7 Si 0.750 0.517 0.197
8 Si 0.750 0.194 0.018
9 Pa 0.250 0.764 0.729
10 Pa 0.250 0.391 0.049
11 Pa 0.250 0.058 0.875
12 Pa 0.750 0.558 0.625
13 Pa 0.750 0.236 0.271
14 Pa 0.250 0.109 0.549
15 Pa 0.250 0.736 0.229
16 Pa 0.750 0.264 0.771
17 Pa 0.750 0.891 0.451
18 Pa 0.750 0.942 0.125
19 Pa 0.250 0.442 0.375
20 Pa 0.750 0.609 0.951
21 Co 0.250 0.133 0.126
22 Co 0.750 0.867 0.874
23 Co 0.250 0.367 0.626
24 Co 0.750 0.633 0.374

=====

| no. | spin magnetization (μB/f.u.) | calculated total energy (eV/atom) |
| --- | --- | --- |
| 1 | 0.00 | -8.162 |
| 2 | 0.00 | -8.274 |